No. 1
First-principles (PBE) data for a relaxed structure of PuZn2Au, as listed in the Alexandria database.

Cell: 5.512 6.913 8.498 Å, 90.00 90.00 90.00°
Site moments in Bohr magnetons follow the coordinates.
Element x y z (fractional)
Zn 0.613 0.059 0.687  0.01
Zn 0.887 0.441 0.187  0.01
Zn 0.887 0.059 0.187  0.01
Zn 0.113 0.941 0.813  0.01
Zn 0.387 0.941 0.313  0.01
Zn 0.613 0.441 0.687  0.01
Zn 0.113 0.559 0.813  0.01
Zn 0.387 0.559 0.313  0.01
Pu 0.877 0.750 0.452  5.40
Pu 0.377 0.250 0.048  5.40
Pu 0.623 0.750 0.952  5.40
Pu 0.123 0.250 0.548  5.40
Au 0.129 0.750 0.097  0.00
Au 0.629 0.250 0.403  0.00
Au 0.371 0.750 0.597  0.00
Au 0.871 0.250 0.903  0.00

Calculated values
- space-group type = Pnma (62)
- E_tot (eV per atom) = -5.27
- formation energy from the elements (meV/atom) = -229
- N(E_F) (states/eV per atom) = 3.105

***

No. 2
First-principles (PBE) data for a relaxed structure of Ac3Nd4Ho, as listed in the Alexandria database.

Cell: 5.357 10.668 10.671 Å, 90.00 90.00 90.00°
Element x y z (fractional)
Nd 0.564 0.121 0.000
Nd 0.564 0.882 0.254
Nd 0.064 0.118 0.246
Nd 0.064 0.118 0.754
Nd 0.064 0.879 0.500
Nd 0.064 0.884 0.000
Nd 0.564 0.116 0.500
Nd 0.564 0.882 0.746
Ac 0.564 0.368 0.755
Ac 0.564 0.631 0.000
Ac 0.564 0.368 0.245
Ac 0.064 0.632 0.745
Ac 0.064 0.632 0.255
Ac 0.064 0.369 0.500
Ho 0.064 0.364 0.000
Ho 0.564 0.636 0.500

Calculated values
- space-group type = Pmmn (59)
- E_tot (eV per atom) = -4.46
- formation energy from the elements (meV/atom) = 38
- N(E_F) (states/eV per atom) = 1.648

***

No. 3
First-principles (PBE) data for a relaxed structure of MgSnHg, as listed in the Alexandria database.

Cell: 5.382 5.382 6.953 Å, 67.23 67.23 60.00°
Element x y z (fractional)
Sn 0.456 0.456 0.631
Sn 0.767 0.767 0.698
Mg 0.289 0.289 0.134
Mg 0.087 0.087 0.739
Hg 0.932 0.932 0.205
Hg 0.611 0.611 0.167

Calculated values
- space-group type = R3m (160)
- E_tot (eV per atom) = -1.97
- formation energy from the elements (meV/atom) = -7
- N(E_F) (states/eV per atom) = 0.458

***

No. 4
First-principles (PBE) data for a relaxed structure of Pm2Y8Ho3, as listed in the Alexandria database.

Cell: 3.523 11.751 20.715 Å, 90.00 90.00 90.00°
Element x y z (fractional)
Y 0.500 0.371 0.214
Y 0.500 0.871 0.286
Y 0.000 0.792 0.448
Y 0.500 0.546 0.072
Y 0.000 0.292 0.052
Y 0.000 0.055 0.159
Y 0.000 0.555 0.341
Y 0.500 0.454 0.928
Y 0.000 0.945 0.841
Y 0.500 0.629 0.786
Y 0.500 0.954 0.572
Y 0.000 0.708 0.948
Y 0.000 0.445 0.659
Y 0.000 0.208 0.552
Y 0.500 0.046 0.428
Y 0.500 0.129 0.714
Ho 0.000 0.354 0.799
Ho 0.000 0.000 0.000
Ho 0.000 0.500 0.500
Ho 0.000 0.646 0.201
Ho 0.000 0.854 0.701
Ho 0.000 0.146 0.299
Pm 0.500 0.821 0.099
Pm 0.500 0.679 0.599
Pm 0.500 0.321 0.401
Pm 0.500 0.179 0.901

Calculated values
- space-group type = Pbam (55)
- E_tot (eV per atom) = -5.62
- formation energy from the elements (meV/atom) = 145
- N(E_F) (states/eV per atom) = 1.594
- energy relative to the lowest polymorph listed for this composition (meV/atom) = 0.0

***

No. 5
First-principles (PBE) data for a relaxed structure of ErPa2Os, as listed in the Alexandria database.

Cell: 3.637 3.637 7.346 Å, 90.00 90.00 90.00°
Element x y z (fractional)
Er 0.500 0.500 0.500
Os 0.500 0.500 0.000
Pa 0.000 0.000 0.193
Pa 0.000 0.000 0.807

Calculated values
- space-group type = P4/mmm (123)
- E_tot (eV per atom) = -8.69
- formation energy from the elements (meV/atom) = 2
- N(E_F) (states/eV per atom) = 1.704
- energy relative to the lowest polymorph listed for this composition (meV/atom) = 0.0

***

No. 6
First-principles (PBE) data for a relaxed structure of RbZrB, as listed in the Alexandria database.

Cell: 3.471 15.938 3.213 Å, 84.17 89.98 114.74°
Site moments in Bohr magnetons follow the coordinates.
Element x y z (fractional)
B 0.813 0.654 0.450  0.00
B 0.916 0.707 0.923  0.00
Zr 0.548 0.775 0.388  0.05
Zr 0.182 0.585 0.984  0.05
Rb 0.200 0.334 0.608  0.06
Rb 0.529 0.026 0.764  0.06

Calculated values
- space-group type = P-1 (2)
- E_tot (eV per atom) = -5.40
- formation energy from the elements (meV/atom) = -1
- N(E_F) (states/eV per atom) = 0.696
- energy relative to the lowest polymorph listed for this composition (meV/atom) = 0.0

***

Please write out number 3 again, unchanged.
First-principles (PBE) data for a relaxed structure of MgSnHg, as listed in the Alexandria database.

Cell: 5.382 5.382 6.953 Å, 67.23 67.23 60.00°
Element x y z (fractional)
Sn 0.456 0.456 0.631
Sn 0.767 0.767 0.698
Mg 0.289 0.289 0.134
Mg 0.087 0.087 0.739
Hg 0.932 0.932 0.205
Hg 0.611 0.611 0.167

Calculated values
- space-group type = R3m (160)
- E_tot (eV per atom) = -1.97
- formation energy from the elements (meV/atom) = -7
- N(E_F) (states/eV per atom) = 0.458

***

Repeat the second record exactly.
First-principles (PBE) data for a relaxed structure of Ac3Nd4Ho, as listed in the Alexandria database.

Cell: 5.357 10.668 10.671 Å, 90.00 90.00 90.00°
Element x y z (fractional)
Nd 0.564 0.121 0.000
Nd 0.564 0.882 0.254
Nd 0.064 0.118 0.246
Nd 0.064 0.118 0.754
Nd 0.064 0.879 0.500
Nd 0.064 0.884 0.000
Nd 0.564 0.116 0.500
Nd 0.564 0.882 0.746
Ac 0.564 0.368 0.755
Ac 0.564 0.631 0.000
Ac 0.564 0.368 0.245
Ac 0.064 0.632 0.745
Ac 0.064 0.632 0.255
Ac 0.064 0.369 0.500
Ho 0.064 0.364 0.000
Ho 0.564 0.636 0.500

Calculated values
- space-group type = Pmmn (59)
- E_tot (eV per atom) = -4.46
- formation energy from the elements (meV/atom) = 38
- N(E_F) (states/eV per atom) = 1.648